This record from Alexandria describes Tb2GaS after structural relaxation. The functional is PBE-GGA.

Cell: 3.884 3.884 7.574 Å, 75.14 75.14 60.00°
Element x y z (fractional)
S1 0.000 0.000 0.000
Tb1 0.744 0.744 0.768
Tb2 0.256 0.256 0.232
Ga1 0.500 0.500 0.500

Summary:
For the calculated total energy, the calculation gives -5.387 eV/atom. Its symmetry is R-3m. Its uncorrected formation energy is -1283 meV/atom. Its density of states at the Fermi level is 0.43 states/eV/atom.